Below is an optimized crystal structure of BaHg7Au2, with properties calculated at the PBE level.

a = 9.5363 Å, b = 12.5395 Å, c = 5.4170 Å
α = 90.00°, β = 90.00°, γ = 90.00°
With the nearest neighbours (Å) after each atom.
Space group Cmmm (No. 65)
Symmetry-distinct sites (fractional):
Ba1 0.0000 0.0000 0.0000 (multiplicity 2)  10 Hg 3.68-3.71
Hg1 0.0000 0.2933 0.0000 (multiplicity 4)  2 Au 2.72
Hg2 0.0000 0.5000 0.5000 (multiplicity 2)  2 Au 2.79
Hg3 0.2132 0.1206 0.5000 (multiplicity 8)  2 Au 2.83-3.02, 2 Hg 3.02-3.13
Au1 0.0000 0.2778 0.5000 (multiplicity 4)  7 Hg 2.72-3.02

## Properties
ΔH_f (0 K) ... -97 meV/atom
Crystal system ... orthorhombic